# 1
BaCu2BOs | PBE | optimized geometry

Computed properties:
**Fermi-level density of states**: 4.96 states/eV/f.u.
**Symmetry**: P4/mmm, No. 123
**DFT total energy**: -4.31 eV/atom
**Theoretical density**: 8.55 g/cm3
**ΔH_f (0 K)**: 1.297 eV per atom
**Calculated volume**: 90 Å³ per cell

abc: 4.0808 5.4312 4.0808
angles: 90.00 90.00 90.00
Fractional positions:
1 Os 0.5000 0.5000 0.5000
2 Cu 0.5000 0.0000 0.0000
3 Cu 0.0000 0.0000 0.5000
4 B 0.0000 0.0000 0.0000
5 Ba 0.0000 0.5000 0.0000

---

# 2
CdSi2Tc | PBE | optimized geometry

Computed properties:
**Fermi-level density of states**: 1.67 states/eV/f.u.
**Symmetry**: Pm, No. 6
**DFT total energy**: -5.39 eV/atom
**Theoretical density**: 6.70 g/cm3
**Calculated volume**: 66 Å³ per cell

abc: 4.2548 3.2922 4.9966
angles: 70.84 90.00 90.00
Fractional positions:
1 Si 0.5000 0.4398 0.2422
2 Si 0.0000 0.0270 0.0707
3 Cd 0.5000 0.7105 0.7061
4 Tc 0.0000 0.3228 0.4810

---

# 3
U3Tl4CuS8 | PBE | optimized geometry

Computed properties:
**Fermi-level density of states**: 9.55 states/eV/f.u.
**Symmetry**: C2/m, No. 12
**DFT total energy**: -5.90 eV/atom
**Theoretical density**: 7.52 g/cm3
**Calculated volume**: 409 Å³ per cell

abc: 7.8479 8.8767 7.8926
angles: 116.51 119.81 90.00
Fractional positions:
1 Tl 0.5000 0.0000 0.5000
2 Tl 0.5000 0.0000 0.0000
3 Tl 0.0000 0.0000 0.0000
4 Tl 0.0000 0.0000 0.5000
5 U 0.5000 0.5000 0.5000
6 U 0.5000 0.5000 0.0000
7 U 0.0000 0.5000 0.5000
8 Cu 0.0000 0.5000 0.0000
9 S 0.7668 0.3050 0.5337
10 S 0.2332 0.6950 0.4663
11 S 0.7352 0.6900 0.9618
12 S 0.7734 0.3100 0.0382
13 S 0.2648 0.3100 0.0382
14 S 0.7329 0.6998 0.4657
15 S 0.2671 0.3002 0.5343
16 S 0.2266 0.6900 0.9618

---

# 4
SbPb3 | PBE | optimized geometry

Computed properties:
**Fermi-level density of states**: 1.79 states/eV/f.u.
**Symmetry**: I4/mmm, No. 139
**DFT total energy**: -3.78 eV/atom
**Theoretical density**: 9.95 g/cm3
**Calculated volume**: 248 Å³ per cell

abc: 11.1194 11.1194 11.1194
angles: 154.84 154.84 35.88
Fractional positions:
1 Pb 0.1266 0.1266 0.0000
2 Pb 0.8734 0.8734 0.0000
3 Pb 0.0000 0.5000 0.5000
4 Pb 0.2500 0.7500 0.5000
5 Pb 0.5000 0.0000 0.5000
6 Pb 0.7500 0.2500 0.5000
7 Sb 0.6216 0.6216 0.0000
8 Sb 0.3784 0.3784 0.0000